# LiCrO2F (GGA+U, relaxed)
# - SG = P4/mmm (123)
# - magnetization (Bohr magnetons per cell) = 2.0
# - DFT total energy (eV/atom) = -5.171
# - density (g cm⁻³) = 3.88
data_LiCrO2F
_chemical_formula_sum 'Li1 Cr1 O2 F1'
_cell_length_a 3.694
_cell_length_b 3.694
_cell_length_c 3.449
_cell_angle_alpha 90.00
_cell_angle_beta 90.00
_cell_angle_gamma 90.00
_symmetry_space_group_name_H-M 'P 1'
_symmetry_Int_Tables_number 1
loop_
_symmetry_equiv_pos_as_xyz
'x,y,z'
loop_
_atom_site_label
_atom_site_type_symbol
_atom_site_fract_x
_atom_site_fract_y
_atom_site_fract_z
_atom_site_occupancy
Cr1 Cr 0.500 0.500 0.500 1
O1 O 0.500 0.000 0.000 1
Li1 Li 0.000 0.000 0.000 1
F1 F 0.000 0.000 0.500 1
O2 O 0.000 0.500 0.000 1